Record 1
! Li3AgH4, relaxed, DFT PBE; values from VASP
! * symmetry: Pmn2_1, No. 31
! * calculated volume: 160.7 Å³/cell
&SYSTEM
  ibrav = 0, nat = 16, ntyp = 3
/
ATOMIC_SPECIES
Li 6.94 Li.upf
Ag 107.87 Ag.upf
H 1.01 H.upf
CELL_PARAMETERS angstrom
6.175 0.000 0.000
0.000 5.345 0.000
0.000 0.000 4.868
ATOMIC_POSITIONS crystal
Li 0.000 0.149 0.000
Li 0.249 0.327 0.499
Li 0.251 0.673 0.999
Li 0.500 0.851 0.500
Li 0.749 0.673 0.999
Li 0.751 0.327 0.499
Ag 0.000 0.821 0.504
Ag 0.500 0.179 0.004
H 0.000 0.155 0.608
H 0.000 0.822 0.123
H 0.247 0.335 0.109
H 0.253 0.665 0.609
H 0.500 0.178 0.623
H 0.500 0.845 0.108
H 0.747 0.665 0.609
H 0.753 0.335 0.109


Record 2
! LiAg2H, relaxed, DFT PBE; values from VASP
! * symmetry: R-3m, No. 166
! * calculated volume: 172.2 Å³/cell
&SYSTEM
  ibrav = 0, nat = 12, ntyp = 3
/
ATOMIC_SPECIES
Li 6.94 Li.upf
Ag 107.87 Ag.upf
H 1.01 H.upf
CELL_PARAMETERS angstrom
2.909 0.000 0.000
-1.455 2.519 0.000
0.000 0.000 23.490
ATOMIC_POSITIONS crystal
Li 0.000 0.000 0.000
Li 0.333 0.667 0.667
Li 0.667 0.333 0.333
Ag 0.000 0.000 0.108
Ag 0.000 0.000 0.892
Ag 0.333 0.667 0.559
Ag 0.333 0.667 0.774
Ag 0.667 0.333 0.226
Ag 0.667 0.333 0.441
H 0.000 0.000 0.500
H 0.333 0.667 0.167
H 0.667 0.333 0.833


Record 3
! Li2AgH, relaxed, DFT PBE; values from VASP
! * symmetry: P4/mmm, No. 123
! * calculated volume: 50.5 Å³/cell
&SYSTEM
  ibrav = 0, nat = 4, ntyp = 3
/
ATOMIC_SPECIES
Li 6.94 Li.upf
Ag 107.87 Ag.upf
H 1.01 H.upf
CELL_PARAMETERS angstrom
2.735 0.000 0.000
0.000 2.735 0.000
0.000 0.000 6.746
ATOMIC_POSITIONS crystal
Li 0.000 0.000 0.186
Li 0.000 0.000 0.814
Ag 0.500 0.500 0.500
H 0.500 0.500 0.000


Record 4
! Li3AgH, relaxed, DFT PBE; values from VASP
! * symmetry: Pm-3m, No. 221
! * calculated volume: 65.1 Å³/cell
&SYSTEM
  ibrav = 0, nat = 5, ntyp = 3
/
ATOMIC_SPECIES
Li 6.94 Li.upf
Ag 107.87 Ag.upf
H 1.01 H.upf
CELL_PARAMETERS angstrom
4.022 0.000 0.000
0.000 4.022 0.000
0.000 0.000 4.022
ATOMIC_POSITIONS crystal
Li 0.000 0.000 0.500
Li 0.000 0.500 0.000
Li 0.500 0.000 0.000
Ag 0.500 0.500 0.500
H 0.000 0.000 0.000


Record 5
! Li2AgH, relaxed, DFT PBE; values from VASP
! * symmetry: I-42d, No. 122
! * calculated volume: 218.8 Å³/cell
&SYSTEM
  ibrav = 0, nat = 16, ntyp = 3
/
ATOMIC_SPECIES
Li 6.94 Li.upf
Ag 107.87 Ag.upf
H 1.01 H.upf
CELL_PARAMETERS angstrom
5.615 0.000 0.000
0.000 5.615 0.000
0.000 0.000 6.938
ATOMIC_POSITIONS crystal
Li 0.106 0.250 0.125
Li 0.250 0.606 0.375
Li 0.250 0.894 0.875
Li 0.394 0.250 0.625
Li 0.606 0.750 0.625
Li 0.750 0.106 0.875
Li 0.750 0.394 0.375
Li 0.894 0.750 0.125
Ag 0.000 0.000 0.500
Ag 0.000 0.500 0.750
Ag 0.500 0.000 0.250
Ag 0.500 0.500 0.000
H 0.000 0.000 0.000
H 0.000 0.500 0.250
H 0.500 0.000 0.750
H 0.500 0.500 0.500


Record 6
! Li2AgH, relaxed, DFT PBE; values from VASP
! * symmetry: R3m, No. 160
! * calculated volume: 148.8 Å³/cell
&SYSTEM
  ibrav = 0, nat = 12, ntyp = 3
/
ATOMIC_SPECIES
Li 6.94 Li.upf
Ag 107.87 Ag.upf
H 1.01 H.upf
CELL_PARAMETERS angstrom
2.863 0.000 0.000
-1.432 2.480 0.000
0.000 0.000 20.954
ATOMIC_POSITIONS crystal
Li 0.000 0.000 0.000
Li 0.000 0.000 0.221
Li 0.333 0.667 0.667
Li 0.333 0.667 0.888
Li 0.667 0.333 0.333
Li 0.667 0.333 0.554
Ag 0.000 0.000 0.444
Ag 0.333 0.667 0.111
Ag 0.667 0.333 0.777
H 0.000 0.000 0.610
H 0.333 0.667 0.276
H 0.667 0.333 0.943


Record 7
! Li2AgH4, relaxed, DFT PBE; values from VASP
! * symmetry: I4/mmm, No. 139
! * calculated volume: 139.3 Å³/cell
&SYSTEM
  ibrav = 0, nat = 14, ntyp = 3
/
ATOMIC_SPECIES
Li 6.94 Li.upf
Ag 107.87 Ag.upf
H 1.01 H.upf
CELL_PARAMETERS angstrom
3.568 0.000 0.000
0.000 3.568 0.000
0.000 0.000 10.942
ATOMIC_POSITIONS crystal
Li 0.000 0.000 0.149
Li 0.000 0.000 0.851
Li 0.500 0.500 0.351
Li 0.500 0.500 0.649
Ag 0.000 0.000 0.500
Ag 0.500 0.500 0.000
H 0.000 0.000 0.322
H 0.000 0.000 0.678
H 0.000 0.500 0.000
H 0.000 0.500 0.500
H 0.500 0.000 0.000
H 0.500 0.000 0.500
H 0.500 0.500 0.178
H 0.500 0.500 0.822


Record 8
! Li3AgH, relaxed, DFT PBE; values from VASP
! * symmetry: Pm-3m, No. 221
! * calculated volume: 122.6 Å³/cell
&SYSTEM
  ibrav = 0, nat = 5, ntyp = 3
/
ATOMIC_SPECIES
Li 6.94 Li.upf
Ag 107.87 Ag.upf
H 1.01 H.upf
CELL_PARAMETERS angstrom
4.967 0.000 0.000
0.000 4.967 0.000
0.000 0.000 4.967
ATOMIC_POSITIONS crystal
Li 0.000 0.000 0.500
Li 0.000 0.500 0.000
Li 0.500 0.000 0.000
Ag 0.000 0.000 0.000
H 0.500 0.500 0.500


Record 9
! LiAg2H2, relaxed, DFT PBE; values from VASP
! * symmetry: P4/mbm, No. 127
! * calculated volume: 122.4 Å³/cell
&SYSTEM
  ibrav = 0, nat = 10, ntyp = 3
/
ATOMIC_SPECIES
Li 6.94 Li.upf
Ag 107.87 Ag.upf
H 1.01 H.upf
CELL_PARAMETERS angstrom
5.723 0.000 0.000
0.000 5.723 0.000
0.000 0.000 3.736
ATOMIC_POSITIONS crystal
Li 0.000 0.000 0.000
Li 0.500 0.500 0.000
Ag 0.182 0.318 0.500
Ag 0.318 0.818 0.500
Ag 0.682 0.182 0.500
Ag 0.818 0.682 0.500
H 0.190 0.310 0.000
H 0.310 0.810 0.000
H 0.690 0.190 0.000
H 0.810 0.690 0.000


Record 10
! LiAg2H, relaxed, DFT PBE; values from VASP
! * symmetry: I-42d, No. 122
! * calculated volume: 224.1 Å³/cell
&SYSTEM
  ibrav = 0, nat = 16, ntyp = 3
/
ATOMIC_SPECIES
Li 6.94 Li.upf
Ag 107.87 Ag.upf
H 1.01 H.upf
CELL_PARAMETERS angstrom
6.706 0.000 0.000
0.000 6.706 0.000
0.000 0.000 4.984
ATOMIC_POSITIONS crystal
Li 0.000 0.000 0.000
Li 0.000 0.500 0.250
Li 0.500 0.000 0.750
Li 0.500 0.500 0.500
Ag 0.137 0.750 0.625
Ag 0.250 0.137 0.375
Ag 0.250 0.363 0.875
Ag 0.363 0.750 0.125
Ag 0.637 0.250 0.125
Ag 0.750 0.637 0.875
Ag 0.750 0.863 0.375
Ag 0.863 0.250 0.625
H 0.000 0.000 0.500
H 0.000 0.500 0.750
H 0.500 0.000 0.250
H 0.500 0.500 0.000


Record 11
! LiAg2H, relaxed, DFT PBE; values from VASP
! * symmetry: Fm-3m, No. 225
! * calculated volume: 221.1 Å³/cell
&SYSTEM
  ibrav = 0, nat = 16, ntyp = 3
/
ATOMIC_SPECIES
Li 6.94 Li.upf
Ag 107.87 Ag.upf
H 1.01 H.upf
CELL_PARAMETERS angstrom
6.047 0.000 0.000
0.000 6.047 0.000
0.000 0.000 6.047
ATOMIC_POSITIONS crystal
Li 0.000 0.000 0.000
Li 0.000 0.500 0.500
Li 0.500 0.000 0.500
Li 0.500 0.500 0.000
Ag 0.250 0.250 0.250
Ag 0.250 0.250 0.750
Ag 0.250 0.750 0.250
Ag 0.250 0.750 0.750
Ag 0.750 0.250 0.250
Ag 0.750 0.250 0.750
Ag 0.750 0.750 0.250
Ag 0.750 0.750 0.750
H 0.000 0.000 0.500
H 0.000 0.500 0.000
H 0.500 0.000 0.000
H 0.500 0.500 0.500


Taking the records one at a time from the top gives raw total energy values of -3.02, -2.58, -2.66, -2.61, -2.67, -2.77, -2.85, -1.90, -2.83, -2.67, -2.34 eV per atom.